Below is crystalline CrFeAs2 at its relaxed geometry, with properties calculated at the PBE level.

Properties
**Energy relative to the elements**: 0.04 eV per atom
**Energy relative to the lowest polymorph listed for this composition**: 0.241 eV per atom
**Raw total energy**: -6.809 eV/atom
**Density**: 7.009 Mg/m³

Lattice parameters (Å, degrees): 4.5471 3.1570 8.5060 90.00 90.00 90.00
Space group Amm2 (No. 38)
One atom of each set of equivalent atoms:
Cr 0.0000 0.0000 0.0000 (multiplicity 2)
Fe 0.5000 0.0000 0.4194 (multiplicity 2)
As 0.0000 0.0000 0.2948 (multiplicity 2)
As 0.5000 0.0000 0.1209 (multiplicity 2)

***

Below is crystalline Be2ReS at its relaxed geometry, with properties calculated at the PBE level.

Properties
**Raw total energy**: -5.572 eV/atom
**Density**: 8.383 Mg/m³
**ΔE_f (raw)**: 0.44 eV/atom

Lattice parameters (Å, degrees): 6.1312 6.1312 4.9808 90.00 90.00 90.00
Space group I-42d (No. 122)
One atom of each set of equivalent atoms:
Be 0.2031 0.7500 0.1250 (multiplicity 8)
Re 0.0000 0.0000 0.5000 (multiplicity 4)
S 0.0000 0.0000 0.0000 (multiplicity 4)

***

Below is crystalline BiSbOF2 at its relaxed geometry, with properties calculated at the PBE level.

Properties
**Energy relative to the lowest polymorph listed for this composition**: 0.029 eV per atom
**Raw total energy**: -4.336 eV/atom
**Density**: 6.476 Mg/m³
**ΔE_f (raw)**: -1.00 eV/atom

Lattice parameters (Å, degrees): 4.5739 4.5739 4.7157 90.00 90.00 90.00
Space group P4/mmm (No. 123)
One atom of each set of equivalent atoms:
Bi 0.0000 0.0000 0.0000 (multiplicity 1)
Sb 0.5000 0.5000 0.5000 (multiplicity 1)
O 0.0000 0.0000 0.5000 (multiplicity 1)
F 0.0000 0.5000 0.0000 (multiplicity 2)

***

Below is crystalline MnTeOs2 at its relaxed geometry, with properties calculated at the PBE level.

Properties
**Raw total energy**: -8.149 eV/atom
**Density**: 14.700 Mg/m³
**ΔE_f (raw)**: 0.54 eV/atom

Lattice parameters (Å, degrees): 3.1407 3.1407 6.4478 90.00 90.00 90.00
Space group P4/mmm (No. 123)
One atom of each set of equivalent atoms:
Mn 0.0000 0.0000 0.0000 (multiplicity 1)
Te 0.0000 0.0000 0.5000 (multiplicity 1)
Os 0.5000 0.5000 0.2149 (multiplicity 2)

***

Below is crystalline CeThCo4 at its relaxed geometry, with properties calculated at the PBE level.

Properties
**Energy relative to the elements**: -0.23 eV per atom
**Raw total energy**: -7.195 eV/atom
**Density**: 11.071 Mg/m³

Lattice parameters (Å, degrees): 7.1446 7.1446 7.1446 90.00 90.00 90.00
Space group F-43m (No. 216)
One atom of each set of equivalent atoms:
Ce 0.0000 0.0000 0.0000 (multiplicity 4)
Th 0.2500 0.2500 0.2500 (multiplicity 4)
Co 0.1255 0.1255 0.6255 (multiplicity 16)

***

Below is crystalline Sm3V5Se12 at its relaxed geometry, with properties calculated at the PBE level.

Properties
**Raw total energy**: -6.091 eV/atom
**Density**: 5.542 Mg/m³
**ΔE_f (raw)**: -1.01 eV/atom

Lattice parameters (Å, degrees): 15.8251 15.8251 15.8251 90.00 90.00 90.00
Space group Ia-3d (No. 230)
One atom of each set of equivalent atoms:
Sm 0.0000 0.2500 0.1250 (multiplicity 24)
V 0.0000 0.0000 0.0000 (multiplicity 16)
V 0.0000 0.2500 0.3750 (multiplicity 24)
Se 0.0301 0.0596 0.6488 (multiplicity 96)

***

Below is crystalline YSc2P2 at its relaxed geometry, with properties calculated at the PBE level.

Properties
**Energy relative to the elements**: -0.78 eV per atom
**Energy relative to the lowest polymorph listed for this composition**: 0.381 eV per atom
**Raw total energy**: -6.769 eV/atom
**Density**: 3.547 Mg/m³

Lattice parameters (Å, degrees): 4.8915 4.8915 9.4207 90.00 90.00 90.00
Space group I4/mmm (No. 139)
One atom of each set of equivalent atoms:
Y 0.0000 0.0000 0.0000 (multiplicity 2)
Sc 0.0000 0.0000 0.3303 (multiplicity 4)
P 0.0000 0.5000 0.2500 (multiplicity 4)

***

Below is crystalline Hg12Au at its relaxed geometry, with properties calculated at the PBE level.

Properties
**Energy relative to the elements**: 0.02 eV per atom
**Raw total energy**: -0.506 eV/atom
**Density**: 12.106 Mg/m³

Lattice parameters (Å, degrees): 6.7255 6.8107 7.9546 97.95 97.14 92.94
Space group P-1 (No. 2)
One atom of each set of equivalent atoms:
Hg 0.0644 0.3707 0.2344 (multiplicity 2)
Hg 0.1172 0.1200 0.8696 (multiplicity 2)
Hg 0.1227 0.8057 0.4711 (multiplicity 2)
Hg 0.3180 0.6331 0.0523 (multiplicity 2)
Hg 0.3503 0.4344 0.6420 (multiplicity 2)
Hg 0.4279 0.1084 0.3418 (multiplicity 2)
Au 0.5000 0.0000 0.0000 (multiplicity 1)

***

Below is crystalline KBeS2O8 at its relaxed geometry, with properties calculated at the PBE level.

Properties
**Raw total energy**: -5.916 eV/atom
**Density**: 2.516 Mg/m³
**ΔE_f (raw)**: -1.52 eV/atom

Lattice parameters (Å, degrees): 4.8118 4.8118 7.9086 90.00 90.00 120.00
Space group P-3 (No. 147)
One atom of each set of equivalent atoms:
K 0.0000 0.0000 0.0000 (multiplicity 1)
Be 0.0000 0.0000 0.5000 (multiplicity 1)
S 0.3333 0.6667 0.6969 (multiplicity 2)
O 0.0889 0.3419 0.6379 (multiplicity 6)
O 0.3333 0.6667 0.8839 (multiplicity 2)

***

Below is crystalline NaUTiO5 at its relaxed geometry, with properties calculated at the PBE level.

Properties
**Raw total energy**: -8.597 eV/atom
**Density**: 4.915 Mg/m³
**ΔE_f (raw)**: -2.94 eV/atom

Lattice parameters (Å, degrees): 7.9098 9.2583 8.0540 90.00 117.00 90.00
Space group C2/c (No. 15)
One atom of each set of equivalent atoms:
Na 0.0000 0.1786 0.2500 (multiplicity 4)
U 0.0000 0.5000 0.0000 (multiplicity 4)
Ti 0.0000 0.1611 0.7500 (multiplicity 4)
O 0.0000 0.4301 0.2500 (multiplicity 4)
O 0.0457 0.2746 0.5869 (multiplicity 8)
O 0.1955 0.0357 0.8747 (multiplicity 8)

***

Below is crystalline CdTe2F at its relaxed geometry, with properties calculated at the PBE level.

Properties
**Energy relative to the lowest polymorph listed for this composition**: 0.023 eV per atom
**Raw total energy**: -3.099 eV/atom
**Density**: 5.825 Mg/m³
**ΔE_f (raw)**: -0.83 eV/atom

Lattice parameters (Å, degrees): 16.0256 4.4683 6.6396 90.00 111.98 90.00
Space group C2 (No. 5)
One atom of each set of equivalent atoms:
Cd 0.1568 0.0000 0.3262 (multiplicity 4)
Te 0.0086 0.6960 0.7161 (multiplicity 4)
Te 0.1760 0.0718 0.9152 (multiplicity 4)
F 0.1963 0.4824 0.4425 (multiplicity 4)

***

Below is crystalline Sr2NpNbN5 at its relaxed geometry, with properties calculated at the PBE level.

Properties
**Raw total energy**: -8.400 eV/atom
**Density**: 6.764 Mg/m³
**ΔE_f (raw)**: -0.84 eV/atom

Lattice parameters (Å, degrees): 3.3944 13.6554 12.1847 90.00 90.00 90.00
Space group Cmc2_1 (No. 36)
One atom of each set of equivalent atoms:
Sr 0.0000 0.0840 0.0000 (multiplicity 4)
Sr 0.0000 0.1600 0.6278 (multiplicity 4)
Np 0.0000 0.4648 0.7733 (multiplicity 4)
Nb 0.0000 0.2325 0.3644 (multiplicity 4)
N 0.0000 0.0661 0.3751 (multiplicity 4)
N 0.0000 0.2642 0.9660 (multiplicity 4)
N 0.0000 0.3143 0.7436 (multiplicity 4)
N 0.0000 0.3736 0.3218 (multiplicity 4)
N 0.0000 0.4904 0.1218 (multiplicity 4)

***

Below is crystalline K6ZnHg at its relaxed geometry, with properties calculated at the PBE level.

Properties
**Energy relative to the elements**: -0.02 eV per atom
**Raw total energy**: -1.044 eV/atom
**Density**: 1.858 Mg/m³

Lattice parameters (Å, degrees): 4.6155 13.3154 14.5562 90.00 90.00 90.00
Space group Amm2 (No. 38)
One atom of each set of equivalent atoms:
K 0.0000 0.0000 0.0000 (multiplicity 2)
K 0.0000 0.1606 0.7113 (multiplicity 4)
K 0.5000 0.0000 0.2703 (multiplicity 2)
K 0.5000 0.2176 0.4620 (multiplicity 4)
Zn 0.5000 0.0000 0.5912 (multiplicity 2)
Hg 0.0000 0.0000 0.4825 (multiplicity 2)

***

Below is crystalline Sb2TeHC at its relaxed geometry, with properties calculated at the PBE level.

Properties
**Energy relative to the lowest polymorph listed for this composition**: 0.000 eV per atom
**Raw total energy**: -3.433 eV/atom
**Density**: 5.904 Mg/m³

Lattice parameters (Å, degrees): 4.7264 4.7264 4.8364 90.00 90.00 90.00
Space group P4/mmm (No. 123)
One atom of each set of equivalent atoms:
Sb 0.0000 0.5000 0.0000 (multiplicity 2)
Te 0.0000 0.0000 0.5000 (multiplicity 1)
H 0.5000 0.5000 0.5000 (multiplicity 1)
C 0.0000 0.0000 0.0000 (multiplicity 1)

***

Below is crystalline AcP2O6 at its relaxed geometry, with properties calculated at the PBE level.

Properties
**Raw total energy**: -7.319 eV/atom
**Density**: 4.670 Mg/m³
**ΔE_f (raw)**: -2.35 eV/atom

Lattice parameters (Å, degrees): 11.2594 8.8535 6.2420 90.00 118.37 90.00
Space group C2/c (No. 15)
One atom of each set of equivalent atoms:
Ac 0.0000 0.1735 0.2500 (multiplicity 4)
P 0.2072 0.4420 0.1752 (multiplicity 8)
O 0.1366 0.0567 0.6751 (multiplicity 8)
O 0.1422 0.2881 0.0884 (multiplicity 8)
O 0.1608 0.4420 0.4580 (multiplicity 8)

***

Below is crystalline Zr3Al3PdAu2 at its relaxed geometry, with properties calculated at the PBE level.

Properties
**Energy relative to the elements**: -0.70 eV per atom
**Raw total energy**: -6.103 eV/atom
**Density**: 8.512 Mg/m³

Lattice parameters (Å, degrees): 6.8163 6.8163 4.1450 90.00 90.00 120.00
Space group P-62m (No. 189)
One atom of each set of equivalent atoms:
Zr 0.0000 0.5865 0.0000 (multiplicity 3)
Al 0.0000 0.2433 0.5000 (multiplicity 3)
Pd 0.0000 0.0000 0.0000 (multiplicity 1)
Au 0.3333 0.6667 0.5000 (multiplicity 2)

***

Below is crystalline CaCr2W at its relaxed geometry, with properties calculated at the PBE level.

Properties
**Energy relative to the elements**: 0.96 eV per atom
**Energy relative to the lowest polymorph listed for this composition**: 0.414 eV per atom
**Raw total energy**: -7.594 eV/atom
**Density**: 8.544 Mg/m³

Lattice parameters (Å, degrees): 5.8820 8.7620 2.6160 90.00 109.03 90.00
Space group C2/m (No. 12)
One atom of each set of equivalent atoms:
Ca 0.0000 0.0000 0.0000 (multiplicity 2)
Cr 0.2500 0.2500 0.5000 (multiplicity 4)
W 0.0000 0.5000 0.0000 (multiplicity 2)

***

Below is crystalline KBeMo2 at its relaxed geometry, with properties calculated at the PBE level.

Properties
**Energy relative to the elements**: 1.62 eV per atom
**Raw total energy**: -4.997 eV/atom
**Density**: 5.443 Mg/m³

Lattice parameters (Å, degrees): 3.8222 3.8222 5.0114 90.00 90.00 90.00
Space group P4/mmm (No. 123)
One atom of each set of equivalent atoms:
K 0.0000 0.0000 0.0000 (multiplicity 1)
Be 0.5000 0.5000 0.0000 (multiplicity 1)
Mo 0.0000 0.5000 0.5000 (multiplicity 2)